Entry from Alexandria: crystalline AgPd3F9 at its relaxed geometry (PBE).

Values from the calculation:
The density is 4.65 g/cm3. The uncorrected formation energy comes out at -1.16 eV/atom. The value obtained for the volume is 213.8 Å³/f.u.

a = 18.0548 Å, b = 7.8698 Å, c = 6.1519 Å
α = 90.00°, β = 101.94°, γ = 90.00°
Space group Cc (No. 9)
One atom of each set of equivalent atoms:
Ag (0.0000, 0.2504, 0.0000) (multiplicity 4)
Pd (0.1494, 0.1454, 0.4299) (multiplicity 4)
Pd (0.2499, 0.4957, 0.7498) (multiplicity 4)
Pd (0.3505, 0.1454, 0.0697) (multiplicity 4)
F (0.0486, 0.2648, 0.3487) (multiplicity 4)
F (0.1087, 0.0054, 0.1501) (multiplicity 4)
F (0.1731, 0.3119, 0.6976) (multiplicity 4)
F (0.1741, 0.3186, 0.1956) (multiplicity 4)
F (0.2499, 0.0001, 0.9996) (multiplicity 4)
F (0.3254, 0.3180, 0.3039) (multiplicity 4)
F (0.3270, 0.3125, 0.8023) (multiplicity 4)
F (0.3913, 0.0051, 0.3493) (multiplicity 4)
F (0.4513, 0.2646, 0.1515) (multiplicity 4)

Entry from Alexandria: crystalline Ac4Cd3Hg2 at its relaxed geometry (PBE).

Values from the calculation:
As for the formation energy from the elements: -0.316 eV/atom. The density is 9.34 g/cm3. The value obtained for the volume is 292.8 Å³/f.u.

a = 5.4961 Å, b = 5.4961 Å, c = 11.1901 Å
α = 90.00°, β = 90.00°, γ = 120.00°
Space group P-3m1 (No. 164)
One atom of each set of equivalent atoms:
Ac (0.0000, 0.0000, 0.1626) (multiplicity 2)
Ac (0.3333, 0.6667, 0.6130) (multiplicity 2)
Cd (0.0000, 0.0000, 0.5000) (multiplicity 1)
Cd (0.3333, 0.6667, 0.9979) (multiplicity 2)
Hg (0.3333, 0.6667, 0.2953) (multiplicity 2)

Entry from Alexandria: crystalline Sm2Pd2Pt15 at its relaxed geometry (PBE).

Values from the calculation:
As for the formation energy from the elements: -0.441 eV/atom. The density is 17.11 g/cm3. The value obtained for the volume is 333.8 Å³/f.u.

a = 9.2968 Å, b = 9.2968 Å, c = 13.3776 Å
α = 90.00°, β = 90.00°, γ = 120.00°
Space group R-3m (No. 166, hexagonal axes)
One atom of each set of equivalent atoms:
Sm (0.0000, 0.0000, 0.1635) (multiplicity 6)
Pd (0.0000, 0.0000, 0.3954) (multiplicity 6)
Pt (0.0000, 0.3114, 0.5000) (multiplicity 18)
Pt (0.0000, 0.5000, 0.0000) (multiplicity 9)
Pt (0.0054, 0.5027, 0.6572) (multiplicity 18)

Entry from Alexandria: crystalline Tm3GaIr2 at its relaxed geometry (PBE).

Values from the calculation:
As for the formation energy from the elements: -0.794 eV/atom. The density is 12.09 g/cm3. The value obtained for the volume is 132.0 Å³/f.u.

a = 11.5705 Å, b = 3.9394 Å, c = 11.5804 Å
α = 90.00°, β = 90.00°, γ = 90.00°
Space group Pnma (No. 62)
One atom of each set of equivalent atoms:
Tm (0.0473, 0.2500, 0.1226) (multiplicity 4)
Tm (0.1350, 0.7500, 0.5750) (multiplicity 4)
Tm (0.1994, 0.2500, 0.8242) (multiplicity 4)
Ga (0.1211, 0.2500, 0.3749) (multiplicity 4)
Ir (0.0048, 0.7500, 0.3094) (multiplicity 4)
Ir (0.1874, 0.7500, 0.9948) (multiplicity 4)

Entry from Alexandria: crystalline Pm14NdPu at its relaxed geometry (PBE).

Values from the calculation:
As for the formation energy from the elements: 0.043 eV/atom. The density is 7.37 g/cm3. The value obtained for the volume is 544.6 Å³/f.u.

a = 10.2529 Å, b = 10.3072 Å, c = 10.3060 Å
α = 90.00°, β = 90.00°, γ = 90.00°
Space group Amm2 (No. 38)
One atom of each set of equivalent atoms:
Pm (0.0000, 0.0000, 0.9999) (multiplicity 2)
Pm (0.0000, 0.0000, 0.5000) (multiplicity 2)
Pm (0.0000, 0.2503, 0.2499) (multiplicity 4)
Pm (0.2521, 0.0000, 0.2477) (multiplicity 4)
Pm (0.2531, 0.0000, 0.7523) (multiplicity 4)
Pm (0.2526, 0.2477, 0.9999) (multiplicity 8)
Pm (0.5000, 0.2495, 0.2499) (multiplicity 4)
Nd (0.5000, 0.0000, 0.4999) (multiplicity 2)
Pu (0.5000, 0.0000, 0.0000) (multiplicity 2)

Entry from Alexandria: crystalline CeYBr at its relaxed geometry (PBE).

Values from the calculation:
The calculation puts the energy above the most stable polymorph in this dataset at 0 kJ/mol of formula units. The density is 5.79 g/cm3. The uncorrected formation energy comes out at -0.65 eV/atom. The value obtained for the volume is 88.6 Å³/f.u.

a = 3.6630 Å, b = 3.6630 Å, c = 7.6224 Å
α = 90.00°, β = 90.00°, γ = 120.00°
Space group P3m1 (No. 156)
One atom of each set of equivalent atoms:
Ce (0.0000, 0.0000, 0.0000) (multiplicity 1)
Y (0.6667, 0.3333, 0.3709) (multiplicity 1)
Br (0.3333, 0.6667, 0.6637) (multiplicity 1)

Entry from Alexandria: crystalline CaHoGa at its relaxed geometry (PBE).

Values from the calculation:
As for the formation energy from the elements: -0.344 eV/atom. The calculation puts the energy above the most stable polymorph in this dataset at 0 kJ/mol of formula units. The density is 5.47 g/cm3. The value obtained for the volume is 83.4 Å³/f.u.

a = 7.8956 Å, b = 7.8956 Å, c = 4.6339 Å
α = 90.00°, β = 90.00°, γ = 120.00°
Space group P-62m (No. 189)
One atom of each set of equivalent atoms:
Ca (0.0000, 0.4158, 0.0000) (multiplicity 3)
Ho (0.0000, 0.7461, 0.5000) (multiplicity 3)
Ga (0.0000, 0.0000, 0.0000) (multiplicity 1)
Ga (0.3333, 0.6667, 0.5000) (multiplicity 2)

Entry from Alexandria: crystalline TbDy2Er6Sc3 at its relaxed geometry (PBE).

Values from the calculation:
As for the formation energy from the elements: 0.043 eV/atom. The density is 7.68 g/cm3. The value obtained for the volume is 350.6 Å³/f.u.

a = 6.0065 Å, b = 10.3949 Å, c = 11.4065 Å
α = 90.00°, β = 100.09°, γ = 90.00°
Space group C2/m (No. 12)
One atom of each set of equivalent atoms:
Tb (0.0000, 0.0000, 0.0000) (multiplicity 2)
Dy (0.0000, 0.3333, 0.0000) (multiplicity 4)
Er (0.2471, 0.0000, 0.7410) (multiplicity 4)
Er (0.2471, 0.3333, 0.7410) (multiplicity 8)
Sc (0.0000, 0.1666, 0.5000) (multiplicity 4)
Sc (0.0000, 0.5000, 0.5000) (multiplicity 2)